1.
# Bi2HS2, relaxed, DFT GGA-PBE
data_Bi2HS2
_space_group_name_H-M_alt 'I 4/m m m'
_space_group_IT_number 139
_space_group_name_Hall '-I 4 2'
_cell_length_a 5.822
_cell_length_b 5.822
_cell_length_c 6.790
_cell_angle_alpha 90.00
_cell_angle_beta 90.00
_cell_angle_gamma 90.00
loop_
_atom_site_label
_atom_site_type_symbol
_atom_site_fract_x
_atom_site_fract_y
_atom_site_fract_z
Bi1 Bi 0.000 0.500 0.250
H1 H 0.000 0.000 0.000
S1 S 0.000 0.000 0.241
# E above lowest polymorph, eV per atom: 0.000
# Total energy, eV per cell: -39.6
# Crystal system: tetragonal


2.
# Ca2PtAu2, relaxed, DFT GGA-PBE
data_Ca2PtAu2
_space_group_name_H-M_alt 'C 1 2/m 1'
_space_group_IT_number 12
_cell_length_a 10.696
_cell_length_b 4.122
_cell_length_c 11.408
_cell_angle_alpha 90.00
_cell_angle_beta 111.72
_cell_angle_gamma 90.00
loop_
_space_group_symop_operation_xyz
'x,y,z'
'-x,-y,-z'
'-x,y,-z'
'x,-y,z'
'x+1/2,y+1/2,z'
'-x+1/2,-y+1/2,-z'
'-x+1/2,y+1/2,-z'
'x+1/2,-y+1/2,z'
loop_
_atom_site_label
_atom_site_type_symbol
_atom_site_fract_x
_atom_site_fract_y
_atom_site_fract_z
Ca1 Ca 0.003 0.000 0.337
Ca2 Ca 0.189 0.000 0.121
Pt1 Pt 0.199 0.500 0.312
Au1 Au 0.039 0.500 0.893
Au2 Au 0.143 0.500 0.550
# E above lowest polymorph, eV per atom: 0.000
# Total energy, eV per cell: -81.6
# Crystal system: monoclinic


3.
# MnZn2Au2, relaxed, DFT GGA-PBE
data_MnZn2Au2
_space_group_name_H-M_alt 'P 4/m b m'
_space_group_IT_number 127
_space_group_name_Hall '-P 4 2ab'
_cell_length_a 7.320
_cell_length_b 7.320
_cell_length_c 3.171
_cell_angle_alpha 90.00
_cell_angle_beta 90.00
_cell_angle_gamma 90.00
loop_
_atom_site_label
_atom_site_type_symbol
_atom_site_fract_x
_atom_site_fract_y
_atom_site_fract_z
Mn1 Mn 0.000 0.000 0.000
Zn1 Zn 0.155 0.345 0.500
Au1 Au 0.145 0.645 0.000
# E above lowest polymorph, eV per atom: 0.095
# Total energy, eV per cell: -36.7
# Crystal system: tetragonal


4.
# RbTl6In3, relaxed, DFT GGA-PBE
data_RbTl6In3
_space_group_name_H-M_alt 'P 1 21/m 1'
_space_group_IT_number 11
_cell_length_a 12.498
_cell_length_b 3.430
_cell_length_c 15.049
_cell_angle_alpha 90.00
_cell_angle_beta 99.36
_cell_angle_gamma 90.00
loop_
_space_group_symop_operation_xyz
'x,y,z'
'-x,-y,-z'
'-x,y+1/2,-z'
'x,-y+1/2,z'
loop_
_atom_site_label
_atom_site_type_symbol
_atom_site_fract_x
_atom_site_fract_y
_atom_site_fract_z
Rb1 Rb 0.032 0.250 0.291
Tl1 Tl 0.133 0.750 0.524
Tl2 Tl 0.152 0.250 0.901
Tl3 Tl 0.251 0.250 0.713
Tl4 Tl 0.303 0.250 0.213
Tl5 Tl 0.368 0.750 0.018
Tl6 Tl 0.446 0.750 0.603
In1 In 0.103 0.750 0.076
In2 In 0.312 0.250 0.428
In3 In 0.453 0.750 0.826
# Total energy, eV per cell: -46.5
# Crystal system: monoclinic